[1]
Compound: Mn3AgI8
Source: Alexandria via LeMat-Bulk
Functional: GGA-PBE
Structure: optimized geometry

Properties
Crystal system: monoclinic
SG: C2/m, No. 12
Total magnetic moment (μB/f.u.): 14.12
E_form (uncorrected) (meV/atom): -349.4

a = 8.2386 Å, b = 8.3544 Å, c = 8.7571 Å
α = 117.39°, β = 90.00°, γ = 119.54°
Each line ends with the local moment (μB).
Fractional positions:
I: 0.2471 0.4942 0.2220  0.01
I: 0.7404 0.4808 0.2273  0.08
I: 0.7546 0.0298 0.7794  0.02
I: 0.2596 0.5192 0.7727  0.08
Mn: 0.5000 0.5000 0.0000  4.25
I: 0.7529 0.5058 0.7780  0.01
I: 0.7248 0.9702 0.2206  0.02
I: 0.2454 0.9702 0.2206  0.02
Ag: 0.0000 0.0000 0.0000  -0.03
Mn: 0.0000 0.5000 0.0000  4.25
Mn: 0.5000 0.0000 0.0000  4.24
I: 0.2752 0.0298 0.7794  0.02



[2]
Compound: MnAg2I5
Source: Alexandria via LeMat-Bulk
Functional: GGA-PBE
Structure: optimized geometry

Properties
Crystal system: monoclinic
SG: Cm, No. 8
Total magnetic moment (μB/f.u.): 4.06
E_form (uncorrected) (meV/atom): -245.6

a = 7.1295 Å, b = 7.5287 Å, c = 7.5287 Å
α = 73.29°, β = 63.03°, γ = 63.03°
Each line ends with the local moment (μB).
Fractional positions:
I: 0.0414 0.3248 0.7420  -0.03
Mn: 0.9748 0.0294 0.0294  3.79
Ag: 0.6510 0.9712 0.6277  0.01
I: 0.5970 0.0130 0.0130  0.06
I: 0.3263 0.7671 0.7671  -0.03
Ag: 0.6510 0.6277 0.9712  0.01
I: 0.0413 0.7420 0.3248  -0.03
I: 0.7172 0.3018 0.3018  -0.03



[3]
Compound: MnAg3I
Source: Alexandria via LeMat-Bulk
Functional: GGA-PBE
Structure: optimized geometry

Properties
Energy above the most stable polymorph in this dataset (eV/atom): 0.000
Crystal system: cubic
SG: Pm-3m, No. 221
Total magnetic moment (μB/f.u.): 4.20
E_form (uncorrected) (meV/atom): 796.8

a = 5.1147 Å, b = 5.1147 Å, c = 5.1147 Å
α = 90.00°, β = 90.00°, γ = 90.00°
Each line ends with the local moment (μB).
Fractional positions:
Ag: 0.5000 0.0000 0.0000  0.02
I: 0.5000 0.5000 0.5000  0.02
Ag: 0.0000 0.5000 0.0000  0.02
Ag: 0.0000 0.0000 0.5000  0.04
Mn: 0.0000 0.0000 0.0000  3.96



[4]
Compound: MnAgI4
Source: Alexandria via LeMat-Bulk
Functional: GGA-PBE
Structure: optimized geometry

Properties
Crystal system: tetragonal
SG: I-4, No. 82
Total magnetic moment (μB/f.u.): 4.00
E_form (uncorrected) (meV/atom): -268.1

a = 6.5123 Å, b = 6.5123 Å, c = 7.4256 Å
α = 116.01°, β = 116.01°, γ = 90.00°
Each line ends with the local moment (μB).
Fractional positions:
I: 0.1505 0.1308 0.7587  -0.04
Ag: 0.7500 0.2500 0.5000  -0.03
I: 0.6082 0.6278 0.7587  -0.04
I: 0.3722 0.8495 0.2414  -0.04
Mn: 0.5000 0.5000 0.0000  3.85
I: 0.8692 0.3918 0.2414  -0.04



[5]
Compound: MnAgI2
Source: Alexandria via LeMat-Bulk
Functional: GGA-PBE
Structure: optimized geometry

Properties
Energy above the most stable polymorph in this dataset (eV/atom): 0.863
Crystal system: cubic
SG: Fm-3m, No. 225
Total magnetic moment (μB/f.u.): 0.00
E_form (uncorrected) (meV/atom): 943.6

a = 5.0325 Å, b = 5.0325 Å, c = 5.0325 Å
α = 60.00°, β = 60.00°, γ = 60.00°
Fractional positions:
I: 0.7500 0.7500 0.7500
Mn: 0.0000 0.0000 0.0000
I: 0.2500 0.2500 0.2500
Ag: 0.5000 0.5000 0.5000



[6]
Compound: Mn5AgI12
Source: Alexandria via LeMat-Bulk
Functional: GGA-PBE
Structure: optimized geometry

Properties
Crystal system: monoclinic
SG: C2/m, No. 12
Total magnetic moment (μB/f.u.): 23.98
E_form (uncorrected) (meV/atom): -381.3

a = 7.1812 Å, b = 7.1964 Å, c = 15.2661 Å
α = 89.98°, β = 89.96°, γ = 60.07°
Each line ends with the local moment (μB).
Fractional positions:
I: 0.3536 0.0000 0.1089  0.01
I: 0.6464 0.0000 0.8911  0.01
I: 0.1668 0.3333 0.3917  0.10
Mn: 0.1667 0.6666 0.5000  4.35
Mn: 0.6664 0.6672 0.0000  4.15
I: 0.1666 0.0000 0.6084  0.10
Mn: 0.5000 0.0000 0.5000  4.35
I: 0.8334 0.0000 0.3916  0.10
Mn: 0.3336 0.3328 0.0000  4.15
I: 0.3559 0.6454 0.8913  0.01
I: 0.6441 0.3546 0.1087  0.01
I: 0.8332 0.6667 0.6083  0.10
I: 0.0014 0.3546 0.8913  0.01
I: 0.5000 0.6667 0.3917  0.10
Mn: 0.8333 0.3334 0.5000  4.35
I: 0.9986 0.6454 0.1087  0.01
I: 0.5000 0.3333 0.6083  0.10
Ag: 0.0000 0.0000 0.0000  -0.02



[7]
Compound: Mn3AgI
Source: Alexandria via LeMat-Bulk
Functional: GGA-PBE
Structure: optimized geometry

Properties
Energy above the most stable polymorph in this dataset (eV/atom): 0.000
Crystal system: cubic
SG: Pm-3m, No. 221
Total magnetic moment (μB/f.u.): 13.41
E_form (uncorrected) (meV/atom): 964.4

a = 5.0727 Å, b = 5.0727 Å, c = 5.0727 Å
α = 90.00°, β = 90.00°, γ = 90.00°
Each line ends with the local moment (μB).
Fractional positions:
Mn: 0.0000 0.5000 0.0000  4.18
Mn: 0.5000 0.0000 0.0000  3.98
Mn: 0.0000 0.0000 0.5000  4.34
I: 0.5000 0.5000 0.5000  0.09
Ag: 0.0000 0.0000 0.0000  0.04



[8]
Compound: Mn3AgI9
Source: Alexandria via LeMat-Bulk
Functional: GGA-PBE
Structure: optimized geometry

Properties
Crystal system: monoclinic
SG: Cc, No. 9
Total magnetic moment (μB/f.u.): 13.00
E_form (uncorrected) (meV/atom): -272.9

a = 9.2733 Å, b = 11.9107 Å, c = 12.2825 Å
α = 84.36°, β = 67.82°, γ = 67.09°
Each line ends with the local moment (μB).
Fractional positions:
Mn: 0.8540 0.5090 0.6972  3.87
I: 0.5023 0.5124 0.2391  0.04
Mn: 0.5958 0.2547 0.7129  4.10
Mn: 0.2222 0.4618 0.3160  4.07
I: 0.3100 0.8799 0.4131  -0.02
I: 0.9408 0.4127 0.8726  -0.02
Ag: 0.0480 0.5650 0.9706  -0.06
I: 0.2291 0.8243 0.0892  0.02
Mn: 0.4366 0.7547 0.2129  4.10
I: 0.7739 0.9127 0.3726  -0.02
I: 0.0562 0.5962 0.5233  0.01
I: 0.9249 0.2054 0.2713  -0.06
I: 0.7139 0.7700 0.0595  -0.05
I: 0.3232 0.2236 0.2920  -0.04
I: 0.4565 0.2700 0.5595  -0.05
I: 0.8574 0.3243 0.5892  0.02
I: 0.7461 0.0124 0.7391  0.04
Mn: 0.9399 0.0090 0.1972  3.87
I: 0.8243 0.0962 0.0233  0.01
Mn: 0.0000 0.9618 0.8160  4.07
I: 0.3969 0.3799 0.9131  -0.02
Ag: 0.4163 0.0650 0.4706  -0.06
I: 0.1612 0.7236 0.7920  -0.04
I: 0.2441 0.0424 0.7209  -0.03
I: 0.5983 0.7054 0.7713  -0.06
I: 0.9926 0.5424 0.2209  -0.03



Q: What is the total magnetic moment in the fifth record?
A: 0.00 μB/f.u.



Q: Among the records above, which one has the lowest E_form (uncorrected)?
A: Mn5AgI12



Q: Which of these has the highest E_form (uncorrected)?
A: Mn3AgI